# 1
{"formula": "Nd6NiAg2", "functional": "PBE", "state": "optimized geometry", "lattice_angstrom": [[-2.7404, -3.4921, -4.6931], [-3.9218, -4.2143, 5.4260], [-7.7567, 7.0752, -0.1112]], "species": ["Ni", "Nd", "Nd", "Nd", "Nd", "Ag", "Ag", "Nd", "Ag", "Nd", "Nd", "Nd", "Nd", "Nd", "Nd", "Ni", "Ag", "Nd"], "fractional_positions": [[0.0000, 0.0000, 0.5000], [0.8485, 0.6695, 0.5516], [0.8412, 0.6999, 0.9481], [0.6314, 0.4662, 0.2518], [0.3412, 0.8001, 0.4481], [0.9170, 0.3930, 0.7665], [0.0830, 0.6070, 0.2335], [0.3485, 0.8305, 0.0516], [0.4170, 0.1070, 0.2665], [0.8686, 0.9662, 0.2482], [0.1515, 0.3305, 0.4484], [0.1314, 0.0338, 0.7518], [0.6515, 0.1695, 0.9484], [0.1588, 0.3001, 0.0519], [0.3686, 0.5338, 0.7482], [0.5000, 0.5000, 0.0000], [0.5830, 0.8930, 0.7335], [0.6588, 0.1999, 0.5519]], "vol_a3_per_atom": 29.8, "e_above_lowest_polymorph_ev_per_atom": 0.000, "rho_g_cm3": 7.06, "ef_ev_per_atom": -0.108, "crystal_system": "monoclinic", "final_energy_ev_per_atom": -4.562}

***

# 2
{"formula": "Nd3NiAg2", "functional": "PBE", "state": "optimized geometry", "lattice_angstrom": [[-3.6362, -1.4438, 2.4287], [4.7579, -9.6938, 1.3607], [5.3482, 4.0903, 10.4388]], "species": ["Ag", "Nd", "Nd", "Ag", "Ni", "Ni", "Ag", "Nd", "Nd", "Nd", "Nd", "Nd", "Nd", "Ni", "Ag", "Nd", "Nd", "Ag", "Ag", "Nd", "Ag", "Ag", "Ni", "Nd"], "fractional_positions": [[0.2500, 0.0035, 0.2987], [0.2500, 0.3816, 0.0550], [0.7500, 0.9411, 0.1091], [0.2500, 0.7029, 0.4956], [0.7500, 0.6343, 0.3835], [0.7500, 0.8657, 0.8835], [0.7500, 0.2029, 0.0044], [0.2500, 0.0589, 0.8909], [0.2500, 0.7895, 0.7415], [0.2500, 0.7105, 0.2415], [0.7500, 0.8816, 0.4450], [0.7500, 0.2105, 0.2585], [0.2500, 0.1184, 0.5550], [0.2500, 0.3657, 0.6165], [0.7500, 0.9965, 0.7013], [0.2500, 0.4411, 0.3909], [0.7500, 0.6184, 0.9450], [0.7500, 0.5035, 0.2013], [0.7500, 0.2971, 0.5044], [0.7500, 0.5589, 0.6091], [0.2500, 0.7971, 0.9956], [0.2500, 0.4965, 0.7987], [0.2500, 0.1343, 0.1165], [0.7500, 0.2895, 0.7585]], "vol_a3_per_atom": 25.9, "rho_g_cm3": 7.54, "ef_ev_per_atom": -0.226, "crystal_system": "orthorhombic", "final_energy_ev_per_atom": -4.524}

***

# 3
{"formula": "NdNiAg", "functional": "PBE", "state": "optimized geometry", "lattice_angstrom": [[-0.7335, -3.9900, 0.0534], [3.9628, -0.6858, 3.1943], [-4.3014, 2.9062, 3.9405]], "species": ["Ni", "Ag", "Nd", "Ag", "Ni", "Nd"], "fractional_positions": [[0.7691, 0.1359, 0.5382], [0.5811, 0.7718, 0.1621], [0.8730, 0.6887, 0.7459], [0.4189, 0.2282, 0.8379], [0.2309, 0.8641, 0.4618], [0.1270, 0.3113, 0.2541]], "vol_a3_per_atom": 21.1, "rho_g_cm3": 8.17, "ef_ev_per_atom": -0.257, "crystal_system": "monoclinic", "final_energy_ev_per_atom": -4.724}